DFT (PBE+U) results for a relaxed LiVCrF6 crystal.

Structure (extended XYZ):
```
18
Lattice="-0.686 5.223 -0.679 -4.075 -3.330 -0.721 -2.203 0.831 8.614" Properties=species:S:1:pos:R:3 pbc="T T T"
Cr -2.367 2.580 1.460
Cr -4.598 0.144 5.753
V -3.468 2.995 5.767
V -3.496 -0.271 1.446
F -4.108 3.263 2.041
F -3.588 1.275 6.995
F -1.361 3.716 2.700
F -4.647 -1.383 6.980
F -2.856 -0.540 5.173
F -2.317 4.106 0.234
F -2.410 1.054 2.689
F -6.337 0.834 6.334
F -0.627 1.890 0.880
F -4.554 1.670 4.525
F -5.603 -0.992 4.514
F -3.376 1.449 0.219
Li 0.000 0.000 0.000
Li -1.102 0.415 4.307
```

Computed properties:
The space group is No. 163. The uncorrected energy is -5.86 eV/atom. The value obtained for the size of the total moment is 6.00 μB/f.u. For the volume, the calculation gives 12.1 Å³ per atom.